# 1
## LiY2S (PBE)

Data for LiY2S after structural relaxation.

Computed properties:
Relative energy among the computed polymorphs: 445 meV per atom
Crystal system: cubic
D(E_F): 27.9 states/eV per cell

Geometry as CIF:
```
data_LiY2S
_chemical_formula_sum 'Li4 Y8 S4'
_cell_length_a 7.055
_cell_length_b 7.055
_cell_length_c 7.055
_cell_angle_alpha 90.00
_cell_angle_beta 90.00
_cell_angle_gamma 90.00
_space_group_name_H-M_alt 'F m -3 m'
_space_group_IT_number 225
_space_group_name_Hall '-F 4 2 3'
loop_
_atom_site_label
_atom_site_type_symbol
_atom_site_fract_x
_atom_site_fract_y
_atom_site_fract_z
Li1 Li 0.000 0.000 0.000
Y1 Y 0.250 0.250 0.250
S1 S 0.000 0.000 0.500
```

---

# 2
## Hf4Ni3Ir (PBE)

Data for Hf4Ni3Ir after structural relaxation.

Computed properties:
Crystal system: orthorhombic
D(E_F): 4.9 states/eV per cell
Calculated formation energy: -0.6311 eV per atom

Geometry as CIF:
```
data_Hf4Ni3Ir
_chemical_formula_sum 'Hf4 Ni3 Ir1'
_cell_length_a 3.307
_cell_length_b 4.148
_cell_length_c 9.848
_cell_angle_alpha 90.00
_cell_angle_beta 90.00
_cell_angle_gamma 90.00
_space_group_name_H-M_alt 'P m m 2'
_space_group_IT_number 25
_space_group_name_Hall 'P 2 -2'
loop_
_atom_site_label
_atom_site_type_symbol
_atom_site_fract_x
_atom_site_fract_y
_atom_site_fract_z
Hf1 Hf 0.000 0.000 0.000
Hf2 Hf 0.000 0.500 0.276
Hf3 Hf 0.500 0.000 0.491
Hf4 Hf 0.500 0.500 0.781
Ni1 Ni 0.000 0.500 0.542
Ni2 Ni 0.500 0.000 0.219
Ni3 Ni 0.500 0.500 0.057
Ir1 Ir 0.000 0.000 0.723
```